Entry from the Alexandria database: CeCdGa4 after structural relaxation (PBE-GGA).

Lattice parameters (Å, degrees): 5.6047 5.6047 5.6047 60.00 60.00 60.00
Closest atoms and distances in Å follow each position.
Sites, in units of the cell vectors:
1 Ce 0.0000 0.0000 0.0000  12 Ga 3.29, 4 Cd 3.43
2 Cd 0.7500 0.7500 0.7500  12 Ga 3.29, 4 Ce 3.43
3 Ga 0.3747 0.3747 0.3747  6 Ga 2.80-2.81
4 Ga 0.3747 0.3747 0.8759  6 Ga 2.80-2.81
5 Ga 0.3747 0.8759 0.3747  6 Ga 2.80-2.81
6 Ga 0.8759 0.3747 0.3747  6 Ga 2.80-2.81

Output
Its density of states at the Fermi level is 8.87 states/eV/cell. As for the volume: 124 Å³/cell. The density is 7088 kg/m³. The value obtained for the formation energy is -0.190 eV/atom. The calculation puts the total DFT energy (no corrections) at -0.2462 Ry/atom. Its total magnetization is 1.604 μB/f.u.